Entry 1:
First-principles (PBE) data for CePuAu4 after structural relaxation, as listed in Alexandria via LeMat-Bulk.

a b c (Å): 5.718 5.718 5.718
angles (deg): 60.00 60.00 60.00
Fractional positions:
Ce 0.000 0.000 0.000
Pu 0.750 0.750 0.750
Au 0.375 0.375 0.375
Au 0.375 0.375 0.875
Au 0.375 0.875 0.375
Au 0.875 0.375 0.375

Values from the calculation:
- Energy above the lowest structure with this stoichiometry: 0.198 eV per atom
- Total magnetization: 7.4 μB per formula unit
- Formation energy: -0.3829 eV per atom


Entry 2:
First-principles (PBE) data for CePuRuAu after structural relaxation, as listed in Alexandria via LeMat-Bulk.

a b c (Å): 5.005 5.005 5.005
angles (deg): 60.00 60.00 60.00
Fractional positions:
Ce 0.000 0.000 0.000
Pu 0.500 0.500 0.500
Ru 0.250 0.250 0.250
Au 0.750 0.750 0.750

Values from the calculation:
- Total magnetization: 6.1 μB per formula unit
- Formation energy: -0.2958 eV per atom


Entry 3:
First-principles (PBE) data for CePu2Sb2Au2 after structural relaxation, as listed in Alexandria via LeMat-Bulk.

a b c (Å): 8.921 8.921 8.921
angles (deg): 32.22 32.22 32.22
Fractional positions:
Ce 0.000 0.000 0.000
Pu 0.139 0.139 0.139
Pu 0.861 0.861 0.861
Sb 0.267 0.267 0.267
Sb 0.733 0.733 0.733
Au 0.438 0.438 0.438
Au 0.562 0.562 0.562

Values from the calculation:
- Total magnetization: 13.4 μB per formula unit
- Raw formation energy: -0.51 eV per atom


Entry 4:
First-principles (PBE) data for CePuSbAu after structural relaxation, as listed in Alexandria via LeMat-Bulk.

a b c (Å): 5.315 5.315 5.315
angles (deg): 60.00 60.00 60.00
Fractional positions:
Ce 0.000 0.000 0.000
Pu 0.500 0.500 0.500
Sb 0.750 0.750 0.750
Au 0.250 0.250 0.250

Values from the calculation:
- Total magnetization: 8.0 μB per formula unit
- Raw formation energy: -0.62 eV per atom


Entry 5:
First-principles (PBE) data for CePuScAu after structural relaxation, as listed in Alexandria via LeMat-Bulk.

a b c (Å): 5.093 5.093 5.093
angles (deg): 60.00 60.00 60.00
Fractional positions:
Ce 0.000 0.000 0.000
Pu 0.250 0.250 0.250
Sc 0.500 0.500 0.500
Au 0.750 0.750 0.750

Values from the calculation:
- Total magnetization: 8.4 μB per formula unit
- Formation energy: -0.2118 eV per atom


Entry 6:
First-principles (PBE) data for CePu2Si2Au2 after structural relaxation, as listed in Alexandria via LeMat-Bulk.

a b c (Å): 9.772 9.772 9.772
angles (deg): 24.30 24.30 24.30
Fractional positions:
Ce 0.000 0.000 0.000
Pu 0.151 0.151 0.151
Pu 0.849 0.849 0.849
Si 0.250 0.250 0.250
Si 0.750 0.750 0.750
Au 0.403 0.403 0.403
Au 0.597 0.597 0.597

Values from the calculation:
- Total magnetization: 2.4 μB per formula unit
- Raw formation energy: -0.31 eV per atom


Number 1: final energy -5.945 eV per atom. Number 2: final energy -8.501 eV per atom. Number 3: final energy -7.564 eV per atom. Number 4: final energy -7.540 eV per atom. Number 5: final energy -7.680 eV per atom. Number 6: final energy -7.739 eV per atom.